Compound: CrCoIN2
Source: Alexandria
Functional: PBE
Structure: relaxed

Cell and atoms, written as extended XYZ:
```
5
Lattice="-3.2221 1.5954 0.2640 -1.4591 -2.6143 -2.0085 -1.2983 -3.5409 5.5522" Properties=species:S:1:pos:R:3 pbc="T T T"
N -1.6111 0.7977 0.1320
N -0.7295 -1.3072 -1.0042
I -0.6492 -1.7705 2.7761
Cr -2.9898 -2.2799 1.9039
Co 0.0000 0.0000 0.0000
```

## Properties
- raw total energy (eV per atom) = -5.395
- calculated volume (Å³ per cell) = 87.2
- M_tot (μB per formula unit) = 0.395
- formation energy (no corrections) (eV/atom) = 1.5911
- E above lowest polymorph (meV/atom) = 731